Material: InAu
Method: DFT, GGA-PBE
State: relaxed

Computed properties:
Formation energy from the elements in eV per atom: -0.0140
Calculated total energy in Ry/atom: -0.2221
Magnetic moment in μB per cell: 0.0

Cell lengths 3.6015, 3.6015, 8.3635 Å; angles 90.00, 90.00, 120.00 degrees
Space group P-3m1 (No. 164)
One atom of each set of equivalent atoms:
In (0.3333, 0.6667, 0.1532) x2
Au (0.3333, 0.6667, 0.6164) x2

Material: Al2SiAs2
Method: DFT, GGA-PBE
State: relaxed

Computed properties:
Calculated total energy in Ry/atom: -0.3012
Energy relative to the lowest polymorph listed for this composition in eV/atom: 0.1173
Magnetic moment in μB per cell: 0.0
Formation energy from raw total energies in eV/atom: 0.34

Cell lengths 3.6602, 3.6602, 14.1188 Å; angles 90.00, 90.00, 90.00 degrees
Space group I4/mmm (No. 139)
One atom of each set of equivalent atoms:
Al (0.0000, 0.0000, 0.0925) x4
Si (0.0000, 0.0000, 0.5000) x2
As (0.0000, 0.5000, 0.2500) x4

Material: SrLi2Ga2
Method: DFT, GGA-PBE
State: relaxed

Computed properties:
Formation energy from the elements in eV per atom: -0.3118
Calculated total energy in Ry/atom: -0.1929
Energy relative to the lowest polymorph listed for this composition in eV/atom: 0.0000
Magnetic moment in μB per cell: 0.0

Cell lengths 8.4617, 6.3744, 8.4260 Å; angles 90.00, 106.68, 90.00 degrees
Space group C2/c (No. 15)
One atom of each set of equivalent atoms:
Sr (0.0000, 0.2495, 0.2500) x4
Li (0.2492, 0.4568, 0.9996) x8
Ga (0.0921, 0.2500, 0.6599) x8

Material: La2TmAs4Ir3
Method: DFT, GGA-PBE
State: relaxed

Computed properties:
Formation energy from the elements in eV per atom: -0.9157
Calculated total energy in Ry/atom: -0.5047
Magnetic moment in μB per cell: 0.0

Cell lengths 4.3848, 4.3848, 10.7332 Å; angles 90.00, 90.00, 90.00 degrees
Space group P-4m2 (No. 115)
One atom of each set of equivalent atoms:
La (0.0000, 0.5000, 0.2266) x2
Tm (0.0000, 0.0000, 0.5000) x1
As (0.0000, 0.0000, 0.0000) x1
As (0.0000, 0.5000, 0.6571) x2
As (0.5000, 0.5000, 0.0000) x1
Ir (0.0000, 0.5000, 0.8910) x2
Ir (0.5000, 0.5000, 0.5000) x1

Material: MnCd2Te
Method: DFT, GGA-PBE
State: relaxed

Computed properties:
Calculated total energy in Ry/atom: -0.2380
Magnetic moment in μB per cell: 12.1
Formation energy from raw total energies in eV/atom: 0.30

Cell lengths 3.1311, 3.1311, 32.9812 Å; angles 90.00, 90.00, 120.00 degrees
Space group R-3m (No. 166, hexagonal axes)
One atom of each set of equivalent atoms:
Mn (0.0000, 0.0000, 0.0000) x3
Cd (0.0000, 0.0000, 0.2641) x6
Te (0.0000, 0.0000, 0.5000) x3

Material: YGe2Os
Method: DFT, GGA-PBE
State: relaxed

Computed properties:
Formation energy from the elements in eV per atom: 0.0032
Calculated total energy in Ry/atom: -0.4946
Magnetic moment in μB per cell: 0.0

Cell lengths 4.6197, 4.6197, 16.7171 Å; angles 90.00, 90.00, 90.00 degrees
Space group I-42d (No. 122)
One atom of each set of equivalent atoms:
Y (0.0000, 0.0000, 0.0000) x4
Ge (0.1137, 0.2500, 0.6250) x8
Os (0.0000, 0.0000, 0.5000) x4

Material: Th6CoPb3
Method: DFT, GGA-PBE
State: relaxed

Computed properties:
Formation energy from the elements in eV per atom: 0.0568
Calculated total energy in Ry/atom: -0.4570
Magnetic moment in μB per cell: 0.0

Cell lengths 11.6825, 15.0458, 7.5861 Å; angles 90.00, 90.00, 90.00 degrees
Space group Cmc2_1 (No. 36)
One atom of each set of equivalent atoms:
Th (0.0000, 0.0071, 0.0000) x4
Th (0.0000, 0.2355, 0.5512) x4
Th (0.1447, 0.4600, 0.5626) x8
Th (0.1592, 0.2291, 0.1018) x8
Co (0.0000, 0.1323, 0.2552) x4
Pb (0.0000, 0.3722, 0.8921) x4
Pb (0.1912, 0.1062, 0.7450) x8

Material: Np2CuNi2Pt5
Method: DFT, GGA-PBE
State: relaxed

Computed properties:
Formation energy from the elements in eV per atom: -0.4470
Calculated total energy in Ry/atom: -0.5602
Magnetic moment in μB per cell: 11.5

Cell lengths 9.1314, 9.1314, 3.9613 Å; angles 90.00, 90.00, 90.00 degrees
Space group P4/mbm (No. 127)
One atom of each set of equivalent atoms:
Np (0.1766, 0.3234, 0.0000) x4
Cu (0.0000, 0.0000, 0.0000) x2
Ni (0.1237, 0.6237, 0.0000) x4
Pt (0.0000, 0.5000, 0.5000) x2
Pt (0.0680, 0.7977, 0.5000) x8

Material: ThZnGaNi2
Method: DFT, GGA-PBE
State: relaxed

Computed properties:
Formation energy from the elements in eV per atom: -0.3264
Calculated total energy in Ry/atom: -0.3662
Magnetic moment in μB per cell: 0.0

Cell lengths 5.3258, 12.1784, 5.4050 Å; angles 90.00, 90.00, 90.00 degrees
Space group Cmme (No. 67)
One atom of each set of equivalent atoms:
Th (0.0000, 0.2500, 0.2350) x4
Zn (0.0000, 0.0000, 0.0000) x4
Ga (0.2500, 0.0000, 0.5000) x4
Ni (0.0000, 0.1507, 0.7071) x8

Material: GeCN
Method: DFT, GGA-PBE
State: relaxed

Computed properties:
Calculated total energy in Ry/atom: -0.5049
Energy relative to the lowest polymorph listed for this composition in eV/atom: 0.0000
Magnetic moment in μB per cell: 0.0
Formation energy from raw total energies in eV/atom: 0.52

Cell lengths 3.2078, 2.4043, 7.8387 Å; angles 90.00, 90.00, 90.00 degrees
Space group Amm2 (No. 38)
One atom of each set of equivalent atoms:
Ge (0.0000, 0.0000, 0.0000) x2
C (0.5000, 0.0000, 0.8142) x2
N (0.5000, 0.0000, 0.2179) x2

Material: Ac3RuAu
Method: DFT, GGA-PBE
State: relaxed

Computed properties:
Formation energy from the elements in eV per atom: -0.3976
Calculated total energy in Ry/atom: -0.3949
Energy relative to the lowest polymorph listed for this composition in eV/atom: 0.0000
Magnetic moment in μB per cell: 0.0

Cell lengths 15.6161, 4.3373, 11.9266 Å; angles 90.00, 117.91, 90.00 degrees
Space group C2/m (No. 12)
One atom of each set of equivalent atoms:
Ac (0.0312, 0.0000, 0.3552) x4
Ac (0.1284, 0.5000, 0.9633) x4
Ac (0.2134, 0.5000, 0.6876) x4
Ru (0.1634, 0.0000, 0.8106) x4
Au (0.1109, 0.5000, 0.2291) x4

Material: CaP
Method: DFT, GGA-PBE
State: relaxed

Computed properties:
Formation energy from the elements in eV per atom: -0.8512
Calculated total energy in Ry/atom: -0.3349
Magnetic moment in μB per cell: 0.0

Cell lengths 4.1663, 4.3723, 5.9694 Å; angles 99.07, 101.71, 105.65 degrees
Space group P1 (No. 1)
One atom of each set of equivalent atoms:
Ca (0.0000, 0.0000, 0.0000) x1
Ca (0.1094, 0.6088, 0.5135) x1
P (0.5054, 0.5961, 0.1528) x1
P (0.5310, 0.3271, 0.7898) x1